Record 1
# Re2HgOs

An optimized crystal structure of Re2HgOs (GGA-PBE, Alexandria).

The structure in POSCAR format:
```
Re2HgOs
1.0
-1.1699 5.6744 0.4548
-4.4355 2.1407 3.0851
5.0070 -2.9111 -0.4793
Hg Os Re
1 1 2
direct
0.4885 0.4885 0.0000 Hg
0.2192 0.7192 0.5000 Os
0.0078 0.0078 0.0000 Re
0.7845 0.2845 0.5000 Re
```

Summary:
As for the calculated total energy: -33.42 eV for the cell shown. The density of states at the Fermi level comes out at 3.1 states/eV/f.u. For the formation energy, the calculation gives 752 meV per atom. The calculation puts the density at 18.84 Mg/m³.

***

Record 2
# LiNi6As

An optimized crystal structure of LiNi6As (GGA-PBE, Alexandria).

The structure in POSCAR format:
```
LiNi6As
1.0
4.0775 0.0048 -1.1715
-1.5673 3.7636 -1.1737
0.0586 0.0912 5.7528
Li Ni As
1 6 1
direct
0.5000 0.5000 0.0000 Li
0.6260 0.1261 0.2521 Ni
0.8739 0.3740 0.7479 Ni
0.2487 0.2487 0.4974 Ni
0.1261 0.6260 0.2521 Ni
0.3740 0.8739 0.7479 Ni
0.7513 0.7513 0.5026 Ni
0.0000 0.0000 0.0000 As
```

Summary:
As for the calculated total energy: -42.21 eV for the cell shown. The density of states at the Fermi level comes out at 11.2 states/eV/f.u. For the formation energy, the calculation gives -120 meV per atom. The calculation puts the density at 8.08 Mg/m³.

***

Record 3
# Ac2Si4Ru5

An optimized crystal structure of Ac2Si4Ru5 (GGA-PBE, Alexandria).

The structure in POSCAR format:
```
Ac2Si4Ru5
1.0
-4.9133 0.1824 -3.4523
-3.8025 -4.7198 -0.0649
-5.7554 2.6825 3.1055
Ac Si Ru
2 4 5
direct
0.8650 0.0000 0.2700 Ac
0.1350 0.0000 0.7300 Ac
0.4712 0.3166 0.7411 Si
0.5288 0.6834 0.2589 Si
0.2122 0.3166 0.2589 Si
0.7878 0.6834 0.7411 Si
0.5000 0.0000 0.0000 Ru
0.0000 0.5000 0.0000 Ru
0.5000 0.5000 0.0000 Ru
0.2500 0.5000 0.5000 Ru
0.7500 0.5000 0.5000 Ru
```

Summary:
As for the calculated total energy: -84.43 eV for the cell shown. The density of states at the Fermi level comes out at 1.8 states/eV/f.u. The calculation puts the formation energy from raw total energies at -741 meV/atom. The calculation puts the density at 8.79 Mg/m³.

***

Please write out number 3 again, unchanged.
# Ac2Si4Ru5

An optimized crystal structure of Ac2Si4Ru5 (GGA-PBE, Alexandria).

The structure in POSCAR format:
```
Ac2Si4Ru5
1.0
-4.9133 0.1824 -3.4523
-3.8025 -4.7198 -0.0649
-5.7554 2.6825 3.1055
Ac Si Ru
2 4 5
direct
0.8650 0.0000 0.2700 Ac
0.1350 0.0000 0.7300 Ac
0.4712 0.3166 0.7411 Si
0.5288 0.6834 0.2589 Si
0.2122 0.3166 0.2589 Si
0.7878 0.6834 0.7411 Si
0.5000 0.0000 0.0000 Ru
0.0000 0.5000 0.0000 Ru
0.5000 0.5000 0.0000 Ru
0.2500 0.5000 0.5000 Ru
0.7500 0.5000 0.5000 Ru
```

Summary:
As for the calculated total energy: -84.43 eV for the cell shown. The density of states at the Fermi level comes out at 1.8 states/eV/f.u. The calculation puts the formation energy from raw total energies at -741 meV/atom. The calculation puts the density at 8.79 Mg/m³.